1.
Entry from Alexandria: a geometry-optimized V2Zn3O8 structure (PBE+U).

The structure in POSCAR format:
```
V2Zn3O8
1.0
6.640 0.000 0.000
-3.766 5.469 0.000
0.000 0.000 8.376
V Zn O
4 6 16
direct
0.122 0.878 0.620 V
0.878 0.122 0.380 V
0.378 0.622 0.120 V
0.622 0.378 0.880 V
0.113 0.387 0.750 Zn
0.387 0.113 0.250 Zn
0.887 0.613 0.250 Zn
0.613 0.887 0.750 Zn
0.500 0.500 0.500 Zn
0.000 0.000 0.000 Zn
0.654 0.890 0.500 O
0.890 0.654 0.500 O
0.846 0.610 0.000 O
0.610 0.846 0.000 O
0.346 0.110 0.500 O
0.110 0.346 0.500 O
0.154 0.390 0.000 O
0.390 0.154 0.000 O
0.501 0.499 0.745 O
0.499 0.501 0.255 O
0.751 0.249 0.774 O
0.249 0.751 0.226 O
0.749 0.251 0.274 O
0.251 0.749 0.726 O
0.001 0.999 0.755 O
0.999 0.001 0.245 O
```

Output
SG: Cmce

=====

2.
Entry from Alexandria: a geometry-optimized VZnO3 structure (PBE+U).

The structure in POSCAR format:
```
VZnO3
1.0
3.791 0.000 0.000
0.000 3.791 0.000
0.000 0.000 3.791
Zn O V
1 3 1
direct
0.000 0.000 0.000 Zn
0.000 0.500 0.000 O
0.000 0.000 0.500 O
0.500 0.000 0.000 O
0.500 0.500 0.500 V
```

Output
SG: Pm-3m

=====

3.
Entry from Alexandria: a geometry-optimized ZrV2O structure (PBE+U).

The structure in POSCAR format:
```
ZrV2O
1.0
6.047 0.000 0.000
0.000 6.047 0.000
3.023 3.023 4.032
Zr O V
2 2 4
direct
0.000 0.000 0.000 Zr
0.750 0.250 0.500 Zr
0.500 0.500 0.000 O
0.250 0.750 0.500 O
0.468 0.125 0.250 V
0.282 0.625 0.250 V
0.375 0.532 0.750 V
0.875 0.718 0.750 V
```

Output
SG: I-42d

=====

4.
Entry from Alexandria: a geometry-optimized ZrVO2 structure (PBE+U).

The structure in POSCAR format:
```
ZrVO2
1.0
-2.410 -0.908 4.119
4.160 -1.294 2.149
1.577 3.540 4.568
Zr O V
2 4 2
direct
0.000 0.000 0.000 Zr
0.750 0.250 0.500 Zr
0.623 0.125 0.250 O
0.127 0.625 0.250 O
0.375 0.377 0.750 O
0.875 0.873 0.750 O
0.500 0.500 0.000 V
0.250 0.750 0.500 V
```

Output
Energy above the most stable polymorph in this dataset: 0.83 eV per formula unit
SG: I-42d

=====

5.
Entry from Alexandria: a geometry-optimized ZrVO5 structure (PBE+U).

The structure in POSCAR format:
```
ZrVO5
1.0
-4.044 -2.668 2.075
1.489 -5.004 0.727
1.213 -1.206 7.066
Zr V O
2 2 10
direct
0.556 0.444 0.250 Zr
0.444 0.556 0.750 Zr
0.000 0.000 0.000 V
0.000 0.000 0.500 V
0.789 0.741 0.120 O
0.290 0.688 0.460 O
0.741 0.789 0.620 O
0.911 0.089 0.250 O
0.312 0.710 0.040 O
0.688 0.290 0.960 O
0.089 0.911 0.750 O
0.259 0.211 0.380 O
0.710 0.312 0.540 O
0.211 0.259 0.880 O
```

Output
Energy above the most stable polymorph in this dataset: 0.39 eV per formula unit
SG: C2/c

=====

6.
Entry from Alexandria: a geometry-optimized Zr3V3O structure (PBE+U).

The structure in POSCAR format:
```
Zr3V3O
1.0
0.000 6.223 6.223
6.223 0.000 6.223
6.223 6.223 0.000
Zr V O
12 12 4
direct
0.064 0.436 0.436 Zr
0.814 0.186 0.814 Zr
0.186 0.814 0.186 Zr
0.814 0.186 0.186 Zr
0.186 0.186 0.814 Zr
0.814 0.814 0.186 Zr
0.064 0.064 0.436 Zr
0.436 0.064 0.436 Zr
0.064 0.436 0.064 Zr
0.436 0.436 0.064 Zr
0.186 0.814 0.814 Zr
0.436 0.064 0.064 Zr
0.625 0.625 0.125 V
0.125 0.625 0.625 V
0.625 0.125 0.625 V
0.625 0.625 0.625 V
0.417 0.417 0.748 V
0.502 0.833 0.833 V
0.833 0.502 0.833 V
0.833 0.833 0.833 V
0.417 0.748 0.417 V
0.417 0.417 0.417 V
0.748 0.417 0.417 V
0.833 0.833 0.502 V
0.125 0.125 0.625 O
0.625 0.125 0.125 O
0.125 0.625 0.125 O
0.125 0.125 0.125 O
```

Output
SG: Fd-3m

=====

7.
Entry from Alexandria: a geometry-optimized Zr2VO structure (PBE+U).

The structure in POSCAR format:
```
Zr2VO
1.0
6.520 0.000 0.000
0.000 6.520 0.000
3.260 3.260 3.687
Zr O V
4 2 2
direct
0.520 0.125 0.250 Zr
0.230 0.625 0.250 Zr
0.375 0.480 0.750 Zr
0.875 0.770 0.750 Zr
0.500 0.500 0.000 O
0.250 0.750 0.500 O
0.000 0.000 0.000 V
0.750 0.250 0.500 V
```

Output
SG: I-42d

=====

8.
Entry from Alexandria: a geometry-optimized ZrV2O7 structure (PBE+U).

The structure in POSCAR format:
```
ZrV2O7
1.0
9.058 0.000 0.000
0.000 9.058 0.000
0.000 0.000 9.058
Zr V O
4 8 28
direct
0.500 0.000 0.500 Zr
0.000 0.000 0.000 Zr
0.500 0.500 0.000 Zr
0.000 0.500 0.500 Zr
0.386 0.386 0.386 V
0.614 0.614 0.614 V
0.386 0.114 0.886 V
0.114 0.614 0.886 V
0.114 0.886 0.386 V
0.886 0.386 0.114 V
0.886 0.114 0.614 V
0.614 0.886 0.114 V
0.000 0.000 0.500 O
0.500 0.500 0.500 O
0.796 0.910 0.064 O
0.564 0.704 0.090 O
0.090 0.936 0.204 O
0.500 0.000 0.000 O
0.936 0.296 0.590 O
0.204 0.410 0.436 O
0.410 0.064 0.704 O
0.910 0.436 0.296 O
0.704 0.410 0.064 O
0.296 0.590 0.936 O
0.564 0.796 0.590 O
0.064 0.796 0.910 O
0.796 0.590 0.564 O
0.410 0.436 0.204 O
0.436 0.204 0.410 O
0.910 0.064 0.796 O
0.090 0.564 0.704 O
0.590 0.936 0.296 O
0.000 0.500 0.000 O
0.704 0.090 0.564 O
0.936 0.204 0.090 O
0.204 0.090 0.936 O
0.064 0.704 0.410 O
0.296 0.910 0.436 O
0.590 0.564 0.796 O
0.436 0.296 0.910 O
```

Output
SG: Pa-3

=====

9.
Entry from Alexandria: a geometry-optimized ZrVO5 structure (PBE+U).

The structure in POSCAR format:
```
ZrVO5
1.0
5.851 0.000 0.000
0.000 7.378 0.000
0.000 0.000 12.509
Zr V O
4 4 20
direct
0.750 0.339 0.936 Zr
0.250 0.661 0.064 Zr
0.750 0.161 0.436 Zr
0.250 0.839 0.564 Zr
0.750 0.969 0.152 V
0.250 0.031 0.848 V
0.750 0.531 0.652 V
0.250 0.469 0.348 V
0.750 0.341 0.569 O
0.250 0.659 0.431 O
0.750 0.159 0.069 O
0.250 0.841 0.931 O
0.750 0.035 0.286 O
0.250 0.965 0.714 O
0.750 0.465 0.786 O
0.250 0.535 0.214 O
0.490 0.341 0.375 O
0.990 0.659 0.625 O
0.510 0.659 0.625 O
0.010 0.341 0.375 O
0.510 0.841 0.125 O
0.010 0.159 0.875 O
0.490 0.159 0.875 O
0.990 0.841 0.125 O
0.500 0.000 0.500 O
0.000 0.000 0.500 O
0.500 0.500 0.000 O
0.000 0.500 0.000 O
```

Output
Energy above the most stable polymorph in this dataset: 0.00 eV per formula unit
SG: Pnma

=====

10.
Entry from Alexandria: a geometry-optimized Zr2VO structure (PBE+U).

The structure in POSCAR format:
```
Zr2VO
1.0
-2.642 0.659 1.349
-1.703 -2.226 1.174
2.684 0.356 8.502
O Zr V
1 2 1
direct
0.500 0.500 0.500 O
0.107 0.107 0.678 Zr
0.893 0.893 0.322 Zr
0.000 0.000 0.000 V
```

Output
SG: R-3m

=====

11.
Entry from Alexandria: a geometry-optimized ZrVO2 structure (PBE+U).

The structure in POSCAR format:
```
ZrVO2
1.0
-1.418 2.338 2.809
-3.667 1.365 -0.251
-2.758 -1.328 2.449
Zr O V
1 2 1
direct
0.500 0.500 0.500 Zr
0.250 0.250 0.250 O
0.750 0.750 0.750 O
0.000 0.000 0.000 V
```

Output
Energy above the most stable polymorph in this dataset: 2.82 eV per formula unit
SG: Fm-3m

=====

12.
Entry from Alexandria: a geometry-optimized ZrVO2 structure (PBE+U).

The structure in POSCAR format:
```
ZrVO2
1.0
1.991 0.000 5.830
-0.996 1.724 5.830
-0.996 -1.724 5.830
Zr O V
1 2 1
direct
0.500 0.500 0.500 Zr
0.883 0.883 0.883 O
0.117 0.117 0.117 O
0.000 0.000 0.000 V
```

Output
Energy above the most stable polymorph in this dataset: 0.00 eV per formula unit
SG: R-3m

=====

13.
Entry from Alexandria: a geometry-optimized Zr9VO20 structure (PBE+U).

The structure in POSCAR format:
```
Zr9VO20
1.0
6.507 -0.137 -0.593
2.207 6.604 -0.223
1.298 1.117 8.276
Zr V O
9 1 20
direct
0.277 0.956 0.437 Zr
0.333 0.439 0.364 Zr
0.128 0.632 0.773 Zr
0.926 0.841 0.163 Zr
0.467 0.771 0.029 Zr
0.883 0.361 0.226 Zr
0.684 0.547 0.635 Zr
0.511 0.255 0.965 Zr
0.729 0.038 0.562 Zr
0.054 0.136 0.833 V
0.081 0.987 0.649 O
0.289 0.778 0.240 O
0.601 0.984 0.116 O
0.206 0.217 0.274 O
0.530 0.416 0.159 O
0.311 0.617 0.557 O
0.793 0.630 0.071 O
0.005 0.395 0.701 O
0.109 0.828 0.952 O
0.602 0.816 0.470 O
0.406 0.175 0.525 O
0.806 0.770 0.722 O
0.489 0.586 0.840 O
0.902 0.179 0.028 O
0.697 0.375 0.441 O
0.199 0.410 0.958 O
0.006 0.575 0.325 O
0.704 0.217 0.755 O
0.918 0.019 0.353 O
0.355 0.049 0.876 O
```

Output
SG: P1

=====

14.
Entry from Alexandria: a geometry-optimized WO4 structure (PBE+U).

The structure in POSCAR format:
```
WO4
1.0
-1.812 -3.272 -2.181
3.173 0.203 -2.939
2.323 -2.828 2.313
W O
1 4
direct
0.000 0.000 0.000 W
0.243 0.757 0.757 O
0.757 0.243 0.757 O
0.757 0.757 0.243 O
0.243 0.243 0.243 O
```

Output
Energy above the most stable polymorph in this dataset: 0.86 eV per formula unit
SG: P-43m

=====

15.
Entry from Alexandria: a geometry-optimized WO5 structure (PBE+U).

The structure in POSCAR format:
```
WO5
1.0
-0.755 0.968 3.622
9.699 -4.835 3.315
5.548 8.091 -1.005
W O
4 20
direct
0.012 0.080 0.380 W
0.512 0.920 0.620 W
0.010 0.920 0.120 W
0.510 0.080 0.880 W
0.012 0.109 0.197 O
0.512 0.891 0.803 O
0.011 0.892 0.303 O
0.511 0.108 0.697 O
0.512 0.035 0.423 O
0.012 0.965 0.577 O
0.511 0.965 0.077 O
0.011 0.035 0.923 O
0.014 0.221 0.432 O
0.514 0.779 0.568 O
0.009 0.779 0.068 O
0.509 0.221 0.932 O
0.172 0.620 0.356 O
0.672 0.380 0.644 O
0.779 0.384 0.153 O
0.279 0.616 0.847 O
0.248 0.514 0.375 O
0.748 0.486 0.625 O
0.709 0.490 0.125 O
0.209 0.510 0.875 O
```

Output
Energy above the most stable polymorph in this dataset: 0.00 eV per formula unit
SG: P2_1

=====

16.
Entry from Alexandria: a geometry-optimized W4O structure (PBE+U).

The structure in POSCAR format:
```
W4O
1.0
-0.517 1.562 -3.985
3.692 -1.868 -1.211
-2.165 -3.558 -1.114
W O
4 1
direct
0.000 0.000 0.000 W
0.500 0.000 0.500 W
0.000 0.500 0.500 W
0.500 0.500 0.000 W
0.500 0.500 0.500 O
```

Output
SG: Pm-3m

=====

17.
Entry from Alexandria: a geometry-optimized WO3 structure (PBE+U).

The structure in POSCAR format:
```
WO3
1.0
3.862 0.000 0.000
0.000 3.862 0.000
0.000 0.000 3.862
O W
3 1
direct
0.000 0.000 0.500 O
0.000 0.500 0.000 O
0.500 0.000 0.000 O
0.000 0.000 0.000 W
```

Output
SG: Pm-3m

=====

18.
Entry from Alexandria: a geometry-optimized WO3 structure (PBE+U).

The structure in POSCAR format:
```
WO3
1.0
3.867 3.098 3.513
-5.711 1.952 -0.686
-3.158 -6.120 8.872
W O
6 18
direct
0.674 0.000 0.481 W
0.674 0.674 0.981 W
0.000 0.326 0.981 W
0.000 0.674 0.481 W
0.326 0.326 0.481 W
0.326 0.000 0.981 W
0.667 0.333 0.961 O
0.333 0.667 0.461 O
0.667 0.333 0.461 O
0.333 0.667 0.961 O
0.000 0.000 0.049 O
0.000 0.000 0.549 O
0.711 0.000 0.909 O
0.711 0.711 0.409 O
0.000 0.289 0.409 O
0.000 0.711 0.909 O
0.289 0.289 0.909 O
0.289 0.000 0.409 O
0.390 0.000 0.131 O
0.390 0.390 0.631 O
0.000 0.610 0.631 O
0.000 0.390 0.131 O
0.610 0.610 0.131 O
0.610 0.000 0.631 O
```

Output
SG: P6_3cm

=====

| no. | calculated total energy (eV per atom) |
| --- | --- |
| 1 | -6.139 |
| 2 | -5.183 |
| 3 | -7.135 |
| 4 | -8.196 |
| 5 | -7.966 |
| 6 | -7.764 |
| 7 | -7.921 |
| 8 | -8.144 |
| 9 | -8.023 |
| 10 | -7.927 |
| 11 | -7.697 |
| 12 | -8.403 |
| 13 | -9.287 |
| 14 | -6.135 |
| 15 | -6.504 |
| 16 | -5.963 |
| 17 | -7.508 |
| 18 | -7.040 |